No. 1
# PBE-GGA Mg2MoBr, optimized geometry
# V: 20.8 Å³ per atom
# Formation energy without anion corrections: 682.4 meV per atom
data_Mg2MoBr
_chemical_formula_sum 'Mg8 Mo4 Br4'
_space_group_name_H-M_alt 'F -4 3 m'
_space_group_IT_number 216
_space_group_name_Hall 'F -4 2 3'
_cell_length_a 6.933
_cell_length_b 6.933
_cell_length_c 6.933
_cell_angle_alpha 90.00
_cell_angle_beta 90.00
_cell_angle_gamma 90.00
loop_
_atom_site_label
_atom_site_type_symbol
_atom_site_fract_x
_atom_site_fract_y
_atom_site_fract_z
_atom_site_occupancy
Mg1 Mg 0.000 0.000 0.000 1
Mg2 Mg 0.250 0.250 0.250 1
Mo1 Mo 0.250 0.250 0.750 1
Br1 Br 0.000 0.000 0.500 1

=====

No. 2
# PBE-GGA Mg2MoBr, optimized geometry
# V: 19.4 Å³ per atom
# Formation energy without anion corrections: 294.5 meV per atom
data_Mg2MoBr
_chemical_formula_sum 'Mg2 Mo1 Br1'
_space_group_name_H-M_alt 'P 1 m 1'
_space_group_IT_number 6
_space_group_name_Hall 'P -2y'
_cell_length_a 3.147
_cell_length_b 4.604
_cell_length_c 5.586
_cell_angle_alpha 90.00
_cell_angle_beta 106.12
_cell_angle_gamma 90.00
loop_
_atom_site_label
_atom_site_type_symbol
_atom_site_fract_x
_atom_site_fract_y
_atom_site_fract_z
_atom_site_occupancy
Mg1 Mg 0.000 0.000 0.000 1
Mg2 Mg 0.340 0.500 0.689 1
Mo1 Mo 0.606 0.500 0.212 1
Br1 Br 0.730 0.000 0.460 1

=====

No. 3
# PBE-GGA Mg2MoBr, optimized geometry
# V: 22.9 Å³ per atom
# Formation energy without anion corrections: 427.7 meV per atom
data_Mg2MoBr
_chemical_formula_sum 'Mg2 Mo1 Br1'
_space_group_name_H-M_alt 'P 4 m m'
_space_group_IT_number 99
_space_group_name_Hall 'P 4 -2'
_cell_length_a 3.592
_cell_length_b 3.592
_cell_length_c 7.085
_cell_angle_alpha 90.00
_cell_angle_beta 90.00
_cell_angle_gamma 90.00
loop_
_atom_site_label
_atom_site_type_symbol
_atom_site_fract_x
_atom_site_fract_y
_atom_site_fract_z
_atom_site_occupancy
Mg1 Mg 0.000 0.000 0.000 1
Mg2 Mg 0.500 0.500 0.246 1
Mo1 Mo 0.000 0.000 0.401 1
Br1 Br 0.500 0.500 0.792 1

=====

No. 4
# PBE-GGA Mg2MoBr, optimized geometry
# V: 20.3 Å³ per atom
# Formation energy without anion corrections: 562.9 meV per atom
data_Mg2MoBr
_chemical_formula_sum 'Mg2 Mo1 Br1'
_space_group_name_H-M_alt 'P m m m'
_space_group_IT_number 47
_space_group_name_Hall '-P 2 2'
_cell_length_a 3.405
_cell_length_b 4.726
_cell_length_c 5.037
_cell_angle_alpha 90.00
_cell_angle_beta 90.00
_cell_angle_gamma 90.00
loop_
_atom_site_label
_atom_site_type_symbol
_atom_site_fract_x
_atom_site_fract_y
_atom_site_fract_z
_atom_site_occupancy
Mg1 Mg 0.000 0.000 0.000 1
Mg2 Mg 0.500 0.000 0.500 1
Mo1 Mo 0.000 0.500 0.500 1
Br1 Br 0.500 0.500 0.000 1

=====

No. 5
# PBE-GGA Mg2MoBr, optimized geometry
# V: 21.2 Å³ per atom
# Formation energy without anion corrections: 316.1 meV per atom
data_Mg2MoBr
_chemical_formula_sum 'Mg2 Mo1 Br1'
_space_group_name_H-M_alt 'P 4 m m'
_space_group_IT_number 99
_space_group_name_Hall 'P 4 -2'
_cell_length_a 3.152
_cell_length_b 3.152
_cell_length_c 8.551
_cell_angle_alpha 90.00
_cell_angle_beta 90.00
_cell_angle_gamma 90.00
loop_
_atom_site_label
_atom_site_type_symbol
_atom_site_fract_x
_atom_site_fract_y
_atom_site_fract_z
_atom_site_occupancy
Mg1 Mg 0.000 0.000 0.000 1
Mg2 Mg 0.500 0.500 0.264 1
Mo1 Mo 0.000 0.000 0.490 1
Br1 Br 0.500 0.500 0.660 1

=====

No. 6
# PBE-GGA Mg2MoBr, optimized geometry
# V: 22.6 Å³ per atom
# Formation energy without anion corrections: 618.2 meV per atom
data_Mg2MoBr
_chemical_formula_sum 'Mg8 Mo4 Br4'
_space_group_name_H-M_alt 'I -4 2 d'
_space_group_IT_number 122
_space_group_name_Hall 'I -4 2bw'
_cell_length_a 7.788
_cell_length_b 7.788
_cell_length_c 5.954
_cell_angle_alpha 90.00
_cell_angle_beta 90.00
_cell_angle_gamma 90.00
loop_
_atom_site_label
_atom_site_type_symbol
_atom_site_fract_x
_atom_site_fract_y
_atom_site_fract_z
_atom_site_occupancy
Mg1 Mg 0.236 0.250 0.125 1
Mo1 Mo 0.000 0.000 0.500 1
Br1 Br 0.000 0.000 0.000 1

=====

No. 7
# PBE-GGA Mg2MoBr, optimized geometry
# V: 19.5 Å³ per atom
# Formation energy without anion corrections: 319.8 meV per atom
data_Mg2MoBr
_chemical_formula_sum 'Mg4 Mo2 Br2'
_space_group_name_H-M_alt 'C m m m'
_space_group_IT_number 65
_space_group_name_Hall '-C 2 2'
_cell_length_a 5.957
_cell_length_b 8.633
_cell_length_c 3.032
_cell_angle_alpha 90.00
_cell_angle_beta 90.00
_cell_angle_gamma 90.00
loop_
_atom_site_label
_atom_site_type_symbol
_atom_site_fract_x
_atom_site_fract_y
_atom_site_fract_z
_atom_site_occupancy
Mg1 Mg 0.250 0.250 0.000 1
Mo1 Mo 0.000 0.000 0.500 1
Br1 Br 0.000 0.500 0.500 1

=====

No. 8
# PBE-GGA Mg2MoBr, optimized geometry
# V: 23.0 Å³ per atom
# Formation energy without anion corrections: 786.3 meV per atom
data_Mg2MoBr
_chemical_formula_sum 'Mg8 Mo4 Br4'
_space_group_name_H-M_alt 'F m -3 m'
_space_group_IT_number 225
_space_group_name_Hall '-F 4 2 3'
_cell_length_a 7.169
_cell_length_b 7.169
_cell_length_c 7.169
_cell_angle_alpha 90.00
_cell_angle_beta 90.00
_cell_angle_gamma 90.00
loop_
_atom_site_label
_atom_site_type_symbol
_atom_site_fract_x
_atom_site_fract_y
_atom_site_fract_z
_atom_site_occupancy
Mg1 Mg 0.250 0.250 0.250 1
Mo1 Mo 0.000 0.000 0.000 1
Br1 Br 0.000 0.000 0.500 1

=====

No. 9
# PBE-GGA MgMo4Br, optimized geometry
# V: 18.1 Å³ per atom
# Formation energy without anion corrections: 763.0 meV per atom
data_MgMo4Br
_chemical_formula_sum 'Mg4 Mo16 Br4'
_space_group_name_H-M_alt 'F -4 3 m'
_space_group_IT_number 216
_space_group_name_Hall 'F -4 2 3'
_cell_length_a 7.580
_cell_length_b 7.580
_cell_length_c 7.580
_cell_angle_alpha 90.00
_cell_angle_beta 90.00
_cell_angle_gamma 90.00
loop_
_atom_site_label
_atom_site_type_symbol
_atom_site_fract_x
_atom_site_fract_y
_atom_site_fract_z
_atom_site_occupancy
Mg1 Mg 0.000 0.000 0.000 1
Mo1 Mo 0.123 0.123 0.623 1
Br1 Br 0.250 0.250 0.250 1

=====

No. 10
# PBE-GGA Mg2MoBr, optimized geometry
# V: 20.6 Å³ per atom
# Formation energy without anion corrections: 36.2 meV per atom
data_Mg2MoBr
_chemical_formula_sum 'Mg2 Mo1 Br1'
_space_group_name_H-M_alt 'P 1 2/m 1'
_space_group_IT_number 10
_space_group_name_Hall '-P 2y'
_cell_length_a 3.141
_cell_length_b 3.084
_cell_length_c 8.510
_cell_angle_alpha 90.00
_cell_angle_beta 90.13
_cell_angle_gamma 90.00
loop_
_atom_site_label
_atom_site_type_symbol
_atom_site_fract_x
_atom_site_fract_y
_atom_site_fract_z
_atom_site_occupancy
Mg1 Mg 0.002 0.000 0.232 1
Mo1 Mo 0.500 0.500 0.000 1
Br1 Br 0.000 0.500 0.500 1

=====

No. 11
# PBE-GGA Mg2MoBr, optimized geometry
# V: 19.9 Å³ per atom
# Formation energy without anion corrections: 442.3 meV per atom
data_Mg2MoBr
_chemical_formula_sum 'Mg2 Mo1 Br1'
_space_group_name_H-M_alt 'P m m 2'
_space_group_IT_number 25
_space_group_name_Hall 'P 2 -2'
_cell_length_a 3.053
_cell_length_b 4.547
_cell_length_c 5.722
_cell_angle_alpha 90.00
_cell_angle_beta 90.00
_cell_angle_gamma 90.00
loop_
_atom_site_label
_atom_site_type_symbol
_atom_site_fract_x
_atom_site_fract_y
_atom_site_fract_z
_atom_site_occupancy
Mg1 Mg 0.000 0.000 0.000 1
Mg2 Mg 0.500 0.500 0.276 1
Mo1 Mo 0.000 0.000 0.479 1
Br1 Br 0.500 0.500 0.751 1

=====

No. 12
# PBE-GGA Mg2MoBr, optimized geometry
# V: 19.2 Å³ per atom
# Formation energy without anion corrections: 471.9 meV per atom
data_Mg2MoBr
_chemical_formula_sum 'Mg4 Mo2 Br2'
_space_group_name_H-M_alt 'C 1 2/m 1'
_space_group_IT_number 12
_space_group_name_Hall '-C 2y'
_cell_length_a 10.871
_cell_length_b 3.152
_cell_length_c 5.042
_cell_angle_alpha 90.00
_cell_angle_beta 117.40
_cell_angle_gamma 90.00
loop_
_atom_site_label
_atom_site_type_symbol
_atom_site_fract_x
_atom_site_fract_y
_atom_site_fract_z
_atom_site_occupancy
Mg1 Mg 0.243 0.000 0.244 1
Mo1 Mo 0.000 0.000 0.500 1
Br1 Br 0.000 0.500 0.000 1

=====

No. 13
# PBE-GGA Mg2MoBr, optimized geometry
# V: 21.1 Å³ per atom
# Formation energy without anion corrections: 391.7 meV per atom
data_Mg2MoBr
_chemical_formula_sum 'Mg2 Mo1 Br1'
_space_group_name_H-M_alt 'P 4/m m m'
_space_group_IT_number 123
_space_group_name_Hall '-P 4 2'
_cell_length_a 5.137
_cell_length_b 5.137
_cell_length_c 3.201
_cell_angle_alpha 90.00
_cell_angle_beta 90.00
_cell_angle_gamma 90.00
loop_
_atom_site_label
_atom_site_type_symbol
_atom_site_fract_x
_atom_site_fract_y
_atom_site_fract_z
_atom_site_occupancy
Mg1 Mg 0.000 0.500 0.000 1
Mo1 Mo 0.000 0.000 0.500 1
Br1 Br 0.500 0.500 0.500 1

=====

No. 14
# PBE-GGA MgNb2MoBr, optimized geometry
# V: 20.9 Å³ per atom
# Formation energy without anion corrections: 1346.5 meV per atom
data_MgNb2MoBr
_chemical_formula_sum 'Mg1 Nb2 Mo1 Br1'
_space_group_name_H-M_alt 'P 4/m m m'
_space_group_IT_number 123
_space_group_name_Hall '-P 4 2'
_cell_length_a 4.765
_cell_length_b 4.765
_cell_length_c 4.610
_cell_angle_alpha 90.00
_cell_angle_beta 90.00
_cell_angle_gamma 90.00
loop_
_atom_site_label
_atom_site_type_symbol
_atom_site_fract_x
_atom_site_fract_y
_atom_site_fract_z
_atom_site_occupancy
Mg1 Mg 0.000 0.000 0.000 1
Nb1 Nb 0.000 0.500 0.500 1
Mo1 Mo 0.500 0.500 0.000 1
Br1 Br 0.000 0.000 0.500 1